Entry 1:
Ba3Zn8In, relaxed, DFT PBE-GGA; V = 24.79 A^3/atom; SG = R3m, No. 160; E = -1.661 eV per atom; ΔE_f = -0.102 eV per atom
1.0
2.881 1.663 10.347
-2.881 1.663 10.347
0.000 -3.327 10.347
Ba Zn In
3 8 1
direct
0.000 0.000 0.000
0.128 0.128 0.128
0.511 0.511 0.511
0.067 0.559 0.559
0.082 0.082 0.553
0.082 0.553 0.082
0.315 0.315 0.315
0.553 0.082 0.082
0.559 0.067 0.559
0.559 0.559 0.067
0.843 0.843 0.843
0.627 0.627 0.627



Entry 2:
ZrAl, relaxed, DFT PBE-GGA; V = 19.63 A^3/atom; SG = P4/nmm, No. 129; E = -6.370 eV per atom; ΔE_f = -0.224 eV per atom
1.0
3.169 0.000 0.000
0.000 3.169 0.000
0.000 0.000 7.821
Zr Al
2 2
direct
0.250 0.250 0.152
0.750 0.750 0.848
0.250 0.250 0.603
0.750 0.750 0.397



Entry 3:
V4Mo5, relaxed, DFT PBE-GGA; V = 14.74 A^3/atom; SG = C2/m, No. 12; E = -10.208 eV per atom; energy above the most stable polymorph in this dataset = 0 meV/atom; ΔE_f = -0.138 eV per atom
1.0
4.665 -2.171 0.000
4.665 2.171 0.000
-4.656 0.000 6.548
V Mo
4 5
direct
0.058 0.058 0.223
0.168 0.168 0.664
0.832 0.832 0.336
0.942 0.942 0.777
0.278 0.278 0.111
0.389 0.389 0.555
0.500 0.500 0.000
0.611 0.611 0.445
0.722 0.722 0.889



Entry 4:
MgZr2Re, relaxed, DFT PBE-GGA; V = 19.37 A^3/atom; SG = C2/m, No. 12; E = -7.630 eV per atom; ΔE_f = 0.155 eV per atom
1.0
3.048 -4.583 0.000
3.048 4.583 0.000
-0.732 0.000 2.774
Mg Zr Re
1 2 1
direct
0.000 0.000 0.000
0.000 0.500 0.500
0.500 0.000 0.500
0.500 0.500 0.000



Entry 5:
CeErTlGa, relaxed, DFT PBE-GGA; V = 25.89 A^3/atom; SG = F-43m, No. 216; E = -4.331 eV per atom; energy above the most stable polymorph in this dataset = 45 meV/atom; ΔE_f = -0.359 eV per atom
1.0
0.000 3.727 3.727
3.727 0.000 3.727
3.727 3.727 0.000
Ce Er Tl Ga
1 1 1 1
direct
0.000 0.000 0.000
0.500 0.500 0.500
0.750 0.750 0.750
0.250 0.250 0.250



Entry 6:
TbAlZn3Cu, relaxed, DFT PBE-GGA; V = 18.42 A^3/atom; SG = Cmcm, No. 63; E = -2.758 eV per atom; ΔE_f = -0.043 eV per atom
1.0
3.106 -6.279 0.000
3.106 6.279 0.000
0.000 0.000 5.667
Tb Al Zn Cu
2 2 6 2
direct
0.200 0.800 0.750
0.800 0.200 0.250
0.428 0.572 0.750
0.572 0.428 0.250
0.196 0.196 0.000
0.196 0.196 0.500
0.356 0.644 0.250
0.644 0.356 0.750
0.804 0.804 0.000
0.804 0.804 0.500
0.150 0.850 0.250
0.850 0.150 0.750



Entry 7:
Ti2CoRe, relaxed, DFT PBE-GGA; V = 14.22 A^3/atom; SG = P4/mmm, No. 123; E = -9.274 eV per atom; energy above the most stable polymorph in this dataset = 1 meV/atom; ΔE_f = -0.438 eV per atom
1.0
3.073 0.000 0.000
0.000 3.073 0.000
0.000 0.000 6.025
Ti Co Re
2 1 1
direct
0.000 0.000 0.246
0.000 0.000 0.754
0.500 0.500 0.000
0.500 0.500 0.500



Entry 8:
BeZnFe2, relaxed, DFT PBE-GGA; V = 11.05 A^3/atom; SG = R3m, No. 160; E = -5.418 eV per atom; energy above the most stable polymorph in this dataset = 141 meV/atom; ΔE_f = 0.064 eV per atom
1.0
1.254 0.724 8.114
-1.254 0.724 8.114
0.000 -1.448 8.114
Be Zn Fe
1 1 2
direct
0.000 0.000 0.000
0.167 0.167 0.167
0.410 0.410 0.410
0.590 0.590 0.590



Entry 9:
Tl3Te2, relaxed, DFT PBE-GGA; V = 37.24 A^3/atom; SG = P-3m1, No. 164; E = -2.914 eV per atom; formation energy from raw total energies = -238 meV per atom; energy above the most stable polymorph in this dataset = 0 meV/atom
1.0
5.481 0.000 0.000
-2.741 4.747 0.000
0.000 0.000 7.156
Tl Te
3 2
direct
0.000 0.000 0.000
0.333 0.667 0.322
0.667 0.333 0.678
0.333 0.667 0.779
0.667 0.333 0.221



Entry 10:
Sm11Cd9Ag4, relaxed, DFT PBE-GGA; V = 26.59 A^3/atom; SG = Cmmm, No. 65; E = -3.283 eV per atom; ΔE_f = -0.301 eV per atom
1.0
7.507 -11.271 0.000
7.507 11.271 0.000
0.000 0.000 3.772
Sm Cd Ag
11 9 4
direct
0.000 0.000 0.000
0.065 0.412 0.000
0.164 0.836 0.000
0.286 0.286 0.000
0.363 0.637 0.000
0.412 0.065 0.000
0.588 0.935 0.000
0.637 0.363 0.000
0.714 0.714 0.000
0.836 0.164 0.000
0.935 0.588 0.000
0.065 0.212 0.500
0.157 0.632 0.500
0.212 0.065 0.500
0.368 0.843 0.500
0.500 0.500 0.500
0.632 0.157 0.500
0.788 0.935 0.500
0.843 0.368 0.500
0.935 0.788 0.500
0.253 0.449 0.500
0.449 0.253 0.500
0.551 0.747 0.500
0.747 0.551 0.500



Entry 11:
Ca8TeAs5, relaxed, DFT PBE-GGA; V = 26.52 A^3/atom; SG = I-4, No. 82; E = -4.249 eV per atom; formation energy from raw total energies = -1221 meV per atom
1.0
-4.539 4.539 4.506
4.539 -4.539 4.506
4.539 4.539 -4.506
Ca Te As
8 1 5
direct
0.120 0.362 0.097
0.122 0.368 0.616
0.266 0.023 0.903
0.494 0.878 0.246
0.632 0.248 0.754
0.638 0.734 0.757
0.752 0.506 0.384
0.977 0.880 0.243
0.250 0.750 0.500
0.006 0.628 0.879
0.372 0.251 0.378
0.500 0.500 0.000
0.749 0.127 0.121
0.873 0.994 0.622



Entry 12:
Sm2Ho2InGa4, relaxed, DFT PBE-GGA; V = 26.11 A^3/atom; SG = I4/mmm, No. 139; E = -3.851 eV per atom; ΔE_f = -0.136 eV per atom
1.0
-3.559 3.559 4.639
3.559 -3.559 4.639
3.559 3.559 -4.639
Sm Ho In Ga
2 2 1 4
direct
0.187 0.187 0.000
0.813 0.813 0.000
0.250 0.750 0.500
0.750 0.250 0.500
0.500 0.500 0.000
0.240 0.240 0.480
0.240 0.760 0.000
0.760 0.240 0.000
0.760 0.760 0.520



Entry 13:
Tb2TmSi3Pt4, relaxed, DFT PBE-GGA; V = 19.10 A^3/atom; SG = P-4m2, No. 115; E = -6.491 eV per atom; formation energy from raw total energies = -1075 meV per atom
1.0
4.183 0.000 0.000
0.000 4.183 0.000
0.000 0.000 10.913
Tb Tm Si Pt
2 1 3 4
direct
0.000 0.500 0.225
0.500 0.000 0.775
0.000 0.000 0.500
0.000 0.500 0.877
0.500 0.000 0.123
0.500 0.500 0.500
0.000 0.000 0.000
0.000 0.500 0.660
0.500 0.000 0.340
0.500 0.500 0.000